No. 1
CePr3Pd12 | PBE | optimized geometry

Computed properties:
Density of states at the Fermi level: 6.71 states/eV/f.u.
Energy of formation: -0.775 eV per atom
E_tot: -5.9366 eV/atom
M_tot: 0.131 Bohr magnetons per cell

Unit cell a=4.2021 b=4.2021 c=16.7905 alpha=90.00 beta=90.00 gamma=90.00
Last column: nearest neighbours and their distance in Å.
Element x y z (fractional)
Ce 0.0000 0.0000 0.0000  12 Pd 2.90-2.97
Pr 0.0000 0.0000 0.2493  12 Pd 2.96-3.03
Pr 0.0000 0.0000 0.5000  12 Pd 2.97-2.99
Pr 0.0000 0.0000 0.7507  12 Pd 2.96-3.03
Pd 0.0000 0.5000 0.1188  2 Ce 2.90, 8 Pd 2.90-3.00, 2 Pr 3.03
Pd 0.0000 0.5000 0.3734  4 Pr 2.96-2.99, 8 Pd 2.97-2.99
Pd 0.0000 0.5000 0.6266  4 Pr 2.96-2.99, 8 Pd 2.97-2.99
Pd 0.0000 0.5000 0.8812  2 Ce 2.90, 8 Pd 2.90-3.00, 2 Pr 3.03
Pd 0.5000 0.0000 0.1188  2 Ce 2.90, 8 Pd 2.90-3.00, 2 Pr 3.03
Pd 0.5000 0.0000 0.3734  4 Pr 2.96-2.99, 8 Pd 2.97-2.99
Pd 0.5000 0.0000 0.6266  4 Pr 2.96-2.99, 8 Pd 2.97-2.99
Pd 0.5000 0.0000 0.8812  2 Ce 2.90, 8 Pd 2.90-3.00, 2 Pr 3.03
Pd 0.5000 0.5000 0.0000  8 Pd 2.90, 4 Ce 2.97
Pd 0.5000 0.5000 0.2466  4 Pr 2.97, 8 Pd 2.99-3.00
Pd 0.5000 0.5000 0.5000  4 Pr 2.97, 8 Pd 2.99
Pd 0.5000 0.5000 0.7534  4 Pr 2.97, 8 Pd 2.99-3.00

=====

No. 2
SrMgTl2 | PBE | optimized geometry

Computed properties:
Density of states at the Fermi level: 1.98 states/eV/f.u.
Energy of formation: -0.225 eV per atom
Distance to the lowest polymorph of the same formula: 0.050 eV/atom
E_tot: -2.2272 eV/atom
M_tot: 0.000 Bohr magnetons per cell

Unit cell a=5.2213 b=5.2213 c=4.3830 alpha=90.00 beta=90.00 gamma=90.00
Last column: nearest neighbours and their distance in Å.
Element x y z (fractional)
Sr 0.0000 0.0000 0.0000  8 Tl 3.41, 4 Mg 3.69
Mg 0.5000 0.5000 0.0000  8 Tl 3.41, 4 Sr 3.69
Tl 0.0000 0.5000 0.5000  4 Mg 3.41, 4 Sr 3.41, 4 Tl 3.69
Tl 0.5000 0.0000 0.5000  4 Mg 3.41, 4 Sr 3.41, 4 Tl 3.69